# 1
The following is a DFT calculation (meta-GGA SCAN) of Zr2SiCl at its PBEsol-relaxed geometry.

Calculated values
- Polymorph energy (0 for the lowest one): 0.122 eV per atom
- Formation energy without anion corrections: -12.65 kcal/mol of atoms

a = 3.0941 Å, b = 3.0941 Å, c = 8.8035 Å
α = 79.88°, β = 79.88°, γ = 60.00°
Atoms (fractional coordinates):
Cl1 0.5000 0.5000 0.5000
Si1 0.0000 0.0000 0.0000
Zr1 0.2482 0.2482 0.2555
Zr2 0.7518 0.7518 0.7445



# 2
The following is a DFT calculation (meta-GGA SCAN) of Zr2SiCl at its PBEsol-relaxed geometry.

Calculated values
- Polymorph energy (0 for the lowest one): 0.000 eV per atom
- Formation energy without anion corrections: -15.47 kcal/mol of atoms

a = 3.3772 Å, b = 4.0437 Å, c = 5.6353 Å
α = 90.00°, β = 107.44°, γ = 90.00°
Atoms (fractional coordinates):
Cl1 0.4962 0.0000 0.9923
Si1 0.7272 0.5000 0.4544
Zr1 0.0030 0.5000 0.0061
Zr2 0.2736 0.0000 0.5472



# 3
The following is a DFT calculation (meta-GGA SCAN) of Zr2SiCl at its PBEsol-relaxed geometry.

Calculated values
- Polymorph energy (0 for the lowest one): 0.254 eV per atom
- Formation energy without anion corrections: -9.61 kcal/mol of atoms

a = 3.0772 Å, b = 5.4129 Å, c = 5.4129 Å
α = 63.69°, β = 73.49°, γ = 73.49°
Atoms (fractional coordinates):
Cl1 0.5000 0.0000 0.0000
Si1 0.0000 0.5000 0.5000
Zr1 0.2321 0.7679 0.7679
Zr2 0.7679 0.2321 0.2321



# 4
The following is a DFT calculation (meta-GGA SCAN) of Zr2SiCl at its PBEsol-relaxed geometry.

Calculated values
- Polymorph energy (0 for the lowest one): 0.026 eV per atom
- Formation energy without anion corrections: -14.86 kcal/mol of atoms

a = 4.6405 Å, b = 4.6405 Å, c = 4.6405 Å
α = 60.00°, β = 60.00°, γ = 60.00°
Atoms (fractional coordinates):
Cl1 0.5000 0.5000 0.5000
Si1 0.0000 0.0000 0.0000
Zr1 0.2500 0.2500 0.2500
Zr2 0.7500 0.7500 0.7500



# 5
The following is a DFT calculation (meta-GGA SCAN) of ZrSiCl2 at its PBEsol-relaxed geometry.

Calculated values
- Polymorph energy (0 for the lowest one): 0.269 eV per atom
- Formation energy without anion corrections: -5.08 kcal/mol of atoms

a = 4.0992 Å, b = 4.0992 Å, c = 4.3943 Å
α = 90.00°, β = 90.00°, γ = 90.00°
Atoms (fractional coordinates):
Cl1 0.0000 0.5000 0.0000
Cl2 0.5000 0.0000 0.0000
Si1 0.5000 0.5000 0.5000
Zr1 0.0000 0.0000 0.5000



# 6
The following is a DFT calculation (meta-GGA SCAN) of ZrSiCl2 at its PBEsol-relaxed geometry.

Calculated values
- Polymorph energy (0 for the lowest one): 0.414 eV per atom
- Formation energy without anion corrections: -1.74 kcal/mol of atoms

a = 3.0443 Å, b = 5.0593 Å, c = 5.0593 Å
α = 109.60°, β = 90.00°, γ = 90.00°
Atoms (fractional coordinates):
Cl1 0.0000 0.5000 0.0000
Cl2 0.0000 0.0000 0.5000
Si1 0.5000 0.0000 0.0000
Zr1 0.5000 0.5000 0.5000



# 7
The following is a DFT calculation (meta-GGA SCAN) of ZrSiCl at its PBEsol-relaxed geometry.

Calculated values
- Formation energy without anion corrections: -10.97 kcal/mol of atoms

a = 3.0625 Å, b = 4.4868 Å, c = 4.4868 Å
α = 120.00°, β = 90.00°, γ = 90.00°
Atoms (fractional coordinates):
Si1 0.0000 0.3333 0.6667
Zr1 0.5000 0.6667 0.3333
Cl1 0.5000 0.0000 0.0000



# 8
The following is a DFT calculation (meta-GGA SCAN) of ZrSi2Cl at its PBEsol-relaxed geometry.

Calculated values
- Formation energy without anion corrections: -10.57 kcal/mol of atoms

a = 3.0463 Å, b = 3.5803 Å, c = 7.6472 Å
α = 90.00°, β = 90.28°, γ = 90.00°
Atoms (fractional coordinates):
Cl1 0.3804 0.5000 0.6974
Si1 0.8697 0.0000 0.0745
Si2 0.8737 0.5000 0.2730
Zr1 0.3761 0.0000 0.4551



# 9
The following is a DFT calculation (meta-GGA SCAN) of SnCl4 at its PBEsol-relaxed geometry.

Calculated values
- Formation energy without anion corrections: -22.76 kcal/mol of atoms

a = 6.7709 Å, b = 9.8387 Å, c = 10.0959 Å
α = 104.87°, β = 90.00°, γ = 90.00°
Atoms (fractional coordinates):
Sn1 0.9219 0.7519 0.1292
Sn2 0.4219 0.2481 0.3708
Sn3 0.0781 0.2481 0.8708
Sn4 0.5781 0.7519 0.6292
Cl1 0.0821 0.8060 0.9486
Cl2 0.5821 0.1940 0.5514
Cl3 0.9179 0.1940 0.0514
Cl4 0.4179 0.8060 0.4486
Cl5 0.5732 0.9434 0.8158
Cl6 0.0732 0.0566 0.6842
Cl7 0.4268 0.0566 0.1842
Cl8 0.9268 0.9434 0.3158
Cl9 0.8982 0.6869 0.5695
Cl10 0.3982 0.3131 0.9305
Cl11 0.1018 0.3131 0.4305
Cl12 0.6018 0.6869 0.0695
Cl13 0.4162 0.5695 0.6874
Cl14 0.9162 0.4305 0.8126
Cl15 0.5838 0.4305 0.3126
Cl16 0.0838 0.5695 0.1874



# 10
The following is a DFT calculation (meta-GGA SCAN) of SnCl2 at its PBEsol-relaxed geometry.

Calculated values
- Formation energy without anion corrections: -23.87 kcal/mol of atoms

a = 4.3182 Å, b = 7.6291 Å, c = 9.1657 Å
α = 90.00°, β = 90.00°, γ = 90.00°
Atoms (fractional coordinates):
Sn1 0.2500 0.2325 0.4222
Sn2 0.7500 0.7675 0.5778
Sn3 0.7500 0.2675 0.9222
Sn4 0.2500 0.7325 0.0778
Cl1 0.7500 0.4818 0.1531
Cl2 0.7500 0.8576 0.9201
Cl3 0.7500 0.9818 0.3469
Cl4 0.2500 0.5182 0.8469
Cl5 0.2500 0.1424 0.0799
Cl6 0.2500 0.6424 0.4201
Cl7 0.7500 0.3576 0.5799
Cl8 0.2500 0.0182 0.6531



# 11
The following is a DFT calculation (meta-GGA SCAN) of TaSn2Cl at its PBEsol-relaxed geometry.

Calculated values
- Formation energy without anion corrections: 16.23 kcal/mol of atoms

a = 4.9530 Å, b = 4.9530 Å, c = 4.9530 Å
α = 60.00°, β = 60.00°, γ = 60.00°
Atoms (fractional coordinates):
Cl1 0.0000 0.0000 0.0000
Sn1 0.2500 0.2500 0.2500
Sn2 0.7500 0.7500 0.7500
Ta1 0.5000 0.5000 0.5000



# 12
The following is a DFT calculation (meta-GGA SCAN) of SnTe3Cl at its PBEsol-relaxed geometry.

Calculated values
- Formation energy without anion corrections: 12.69 kcal/mol of atoms

a = 5.5981 Å, b = 5.5981 Å, c = 5.5981 Å
α = 90.00°, β = 90.00°, γ = 90.00°
Atoms (fractional coordinates):
Te1 0.0000 0.5000 0.0000
Te2 0.0000 0.0000 0.5000
Te3 0.5000 0.0000 0.0000
Sn1 0.0000 0.0000 0.0000
Cl1 0.5000 0.5000 0.5000



# 13
The following is a DFT calculation (meta-GGA SCAN) of ZnSnTe2Cl at its PBEsol-relaxed geometry.

Calculated values
- Formation energy without anion corrections: 4.23 kcal/mol of atoms

a = 5.0784 Å, b = 5.0784 Å, c = 5.5750 Å
α = 90.00°, β = 90.00°, γ = 90.00°
Atoms (fractional coordinates):
Zn1 0.0000 0.0000 0.0000
Te1 0.0000 0.5000 0.0000
Te2 0.5000 0.0000 0.0000
Sn1 0.0000 0.0000 0.5000
Cl1 0.5000 0.5000 0.5000



# 14
The following is a DFT calculation (meta-GGA SCAN) of TiSnCl3 at its PBEsol-relaxed geometry.

Calculated values
- Formation energy without anion corrections: -21.03 kcal/mol of atoms

a = 4.8491 Å, b = 4.8491 Å, c = 4.8491 Å
α = 90.00°, β = 90.00°, γ = 90.00°
Atoms (fractional coordinates):
Cl1 0.0000 0.5000 0.0000
Cl2 0.0000 0.0000 0.5000
Cl3 0.5000 0.0000 0.0000
Sn1 0.5000 0.5000 0.5000
Ti1 0.0000 0.0000 0.0000



# 15
The following is a DFT calculation (meta-GGA SCAN) of Tl2Sn2Cl at its PBEsol-relaxed geometry.

Calculated values
- Formation energy without anion corrections: -5.50 kcal/mol of atoms

a = 4.1124 Å, b = 4.1124 Å, c = 9.4248 Å
α = 102.60°, β = 102.60°, γ = 90.00°
Atoms (fractional coordinates):
Tl1 0.4124 0.4124 0.8248
Tl2 0.5876 0.5876 0.1752
Sn1 0.2500 0.7500 0.5000
Sn2 0.7500 0.2500 0.5000
Cl1 0.0000 0.0000 0.0000